(1)
ReOs4Ru: relaxed, GGA-PBE.

Summary:
**Space-group type**: P2_1/m
**E**: -10.4012 eV per atom
**Energy of formation**: 4.24 eV/f.u.
**V**: 203 Å³ per cell
**DOS at the Fermi energy**: 4.2 states/eV/f.u.

a b c (Å): 8.990 4.323 7.123
angles (deg): 90.00 118.73 118.74
Positions (direct):
Ru 0.075 0.325 0.147
Ru 0.925 0.675 0.853
Re 0.431 0.181 0.876
Re 0.569 0.819 0.124
Os 0.176 0.426 0.860
Os 0.824 0.574 0.140
Os 0.474 0.724 0.413
Os 0.044 0.794 0.584
Os 0.526 0.276 0.587
Os 0.956 0.206 0.416
Os 0.307 0.057 0.148
Os 0.693 0.943 0.852



(2)
TlCd2CoC: relaxed, GGA-PBE.

Summary:
**Space-group type**: P4/mmm
**E**: -3.5039 eV per atom
**Energy of formation**: 3.01 eV/f.u.
**V**: 91 Å³ per cell
**DOS at the Fermi energy**: 2.2 states/eV/f.u.

a b c (Å): 4.981 3.688 4.981
angles (deg): 90.00 90.00 90.00
Positions (direct):
Tl 0.500 0.500 0.500
Cd 0.500 0.000 0.000
Cd 0.000 0.000 0.500
Co 0.000 0.500 0.000
C 0.000 0.000 0.000